# HfAg2SbP (PBE, relaxed)
# - ΔE_f (raw): 0.07 eV per atom
data_HfAg2SbP
_chemical_formula_sum 'Hf1 Ag2 Sb1 P1'
_space_group_name_H-M_alt 'P 4/m m m'
_space_group_IT_number 123
_space_group_name_Hall '-P 4 2'
_cell_length_a 4.706
_cell_length_b 4.706
_cell_length_c 5.061
_cell_angle_alpha 90.00
_cell_angle_beta 90.00
_cell_angle_gamma 90.00
loop_
_atom_site_label
_atom_site_type_symbol
_atom_site_fract_x
_atom_site_fract_y
_atom_site_fract_z
Hf1 Hf 0.000 0.000 0.000
Ag1 Ag 0.000 0.500 0.500
Sb1 Sb 0.500 0.500 0.000
P1 P 0.000 0.000 0.500


# HfAgSbP2 (PBE, relaxed)
# - ΔE_f (raw): 0.89 eV per atom
data_HfAgSbP2
_chemical_formula_sum 'Hf1 Ag1 Sb1 P2'
_space_group_name_H-M_alt 'P 4/m m m'
_space_group_IT_number 123
_space_group_name_Hall '-P 4 2'
_cell_length_a 4.673
_cell_length_b 4.673
_cell_length_c 5.402
_cell_angle_alpha 90.00
_cell_angle_beta 90.00
_cell_angle_gamma 90.00
loop_
_atom_site_label
_atom_site_type_symbol
_atom_site_fract_x
_atom_site_fract_y
_atom_site_fract_z
Hf1 Hf 0.000 0.000 0.000
Ag1 Ag 0.000 0.000 0.500
Sb1 Sb 0.500 0.500 0.000
P1 P 0.000 0.500 0.500


# HfSiAgP2 (PBE, relaxed)
# - ΔE_f (raw): 0.68 eV per atom
data_HfSiAgP2
_chemical_formula_sum 'Hf1 Si1 Ag1 P2'
_space_group_name_H-M_alt 'P 4/m m m'
_space_group_IT_number 123
_space_group_name_Hall '-P 4 2'
_cell_length_a 4.470
_cell_length_b 4.470
_cell_length_c 5.050
_cell_angle_alpha 90.00
_cell_angle_beta 90.00
_cell_angle_gamma 90.00
loop_
_atom_site_label
_atom_site_type_symbol
_atom_site_fract_x
_atom_site_fract_y
_atom_site_fract_z
Hf1 Hf 0.000 0.000 0.000
Si1 Si 0.000 0.000 0.500
Ag1 Ag 0.500 0.500 0.000
P1 P 0.000 0.500 0.500


# Hf2TiAgP (PBE, relaxed)
# - Energy relative to the elements: 114 kJ/mol of atoms
data_Hf2TiAgP
_chemical_formula_sum 'Hf2 Ti1 Ag1 P1'
_space_group_name_H-M_alt 'P 4/m m m'
_space_group_IT_number 123
_space_group_name_Hall '-P 4 2'
_cell_length_a 4.886
_cell_length_b 4.886
_cell_length_c 4.839
_cell_angle_alpha 90.00
_cell_angle_beta 90.00
_cell_angle_gamma 90.00
loop_
_atom_site_label
_atom_site_type_symbol
_atom_site_fract_x
_atom_site_fract_y
_atom_site_fract_z
Hf1 Hf 0.000 0.500 0.000
Ti1 Ti 0.000 0.000 0.000
Ag1 Ag 0.000 0.000 0.500
P1 P 0.500 0.500 0.500


# HfPaAg (PBE, relaxed)
# - Energy relative to the elements: -1 kJ/mol of atoms
# - Energy above the most stable polymorph in this dataset: 0 meV per atom
data_HfPaAg
_chemical_formula_sum 'Hf2 Pa2 Ag2'
_space_group_name_H-M_alt 'P 4/n m m'
_space_group_IT_number 129
_cell_length_a 3.351
_cell_length_b 3.351
_cell_length_c 11.581
_cell_angle_alpha 90.00
_cell_angle_beta 90.00
_cell_angle_gamma 90.00
loop_
_space_group_symop_operation_xyz
'x,y,z'
'-x,-y,-z'
'-y+1/2,x,z'
'y+1/2,-x,-z'
'-x+1/2,-y+1/2,z'
'x+1/2,y+1/2,-z'
'y,-x+1/2,z'
'-y,x+1/2,-z'
'x+1/2,-y,-z'
'-x+1/2,y,z'
'-y,-x,-z'
'y,x,z'
'-x,y+1/2,-z'
'x,-y+1/2,z'
'y+1/2,x+1/2,-z'
'-y+1/2,-x+1/2,z'
loop_
_atom_site_label
_atom_site_type_symbol
_atom_site_fract_x
_atom_site_fract_y
_atom_site_fract_z
Hf1 Hf 0.250 0.250 0.218
Pa1 Pa 0.250 0.250 0.597
Ag1 Ag 0.250 0.250 0.930


# HfPaAg (PBE, relaxed)
# - Energy relative to the elements: 4 kJ/mol of atoms
# - Energy above the most stable polymorph in this dataset: 52 meV per atom
data_HfPaAg
_chemical_formula_sum 'Hf2 Pa2 Ag2'
_space_group_name_H-M_alt 'I 4 m m'
_space_group_IT_number 107
_space_group_name_Hall 'I 4 -2'
_cell_length_a 3.079
_cell_length_b 3.079
_cell_length_c 13.937
_cell_angle_alpha 90.00
_cell_angle_beta 90.00
_cell_angle_gamma 90.00
loop_
_atom_site_label
_atom_site_type_symbol
_atom_site_fract_x
_atom_site_fract_y
_atom_site_fract_z
Hf1 Hf 0.000 0.000 0.000
Pa1 Pa 0.000 0.000 0.671
Ag1 Ag 0.000 0.000 0.349


# HfPaTcAg (PBE, relaxed)
# - Energy relative to the elements: 3 kJ/mol of atoms
data_HfPaTcAg
_chemical_formula_sum 'Hf4 Pa4 Tc4 Ag4'
_space_group_name_H-M_alt 'F -4 3 m'
_space_group_IT_number 216
_space_group_name_Hall 'F -4 2 3'
_cell_length_a 6.876
_cell_length_b 6.876
_cell_length_c 6.876
_cell_angle_alpha 90.00
_cell_angle_beta 90.00
_cell_angle_gamma 90.00
loop_
_atom_site_label
_atom_site_type_symbol
_atom_site_fract_x
_atom_site_fract_y
_atom_site_fract_z
Hf1 Hf 0.000 0.000 0.000
Pa1 Pa 0.000 0.000 0.500
Tc1 Tc 0.250 0.250 0.750
Ag1 Ag 0.250 0.250 0.250


# HfAg2Pb2 (PBE, relaxed)
# - Energy relative to the elements: 24 kJ/mol of atoms
# - Energy above the most stable polymorph in this dataset: 0 meV per atom
data_HfAg2Pb2
_chemical_formula_sum 'Hf2 Ag4 Pb4'
_space_group_name_H-M_alt 'P 4/m b m'
_space_group_IT_number 127
_space_group_name_Hall '-P 4 2ab'
_cell_length_a 8.139
_cell_length_b 8.139
_cell_length_c 3.493
_cell_angle_alpha 90.00
_cell_angle_beta 90.00
_cell_angle_gamma 90.00
loop_
_atom_site_label
_atom_site_type_symbol
_atom_site_fract_x
_atom_site_fract_y
_atom_site_fract_z
Hf1 Hf 0.000 0.000 0.000
Ag1 Ag 0.121 0.379 0.000
Pb1 Pb 0.181 0.681 0.500


| no. | E (eV per atom) |
| --- | --- |
| 1 | -4.964 |
| 2 | -4.658 |
| 3 | -5.134 |
| 4 | -6.033 |
| 5 | -7.444 |
| 6 | -7.392 |
| 7 | -8.137 |
| 8 | -4.365 |